Entry 1:
The following is a DFT calculation (GGA-PBE) of a relaxed structure of Pr2SmTaN4.

The crystal system is orthorhombic. The density of states at the Fermi level is 7.98 states/eV per cell. The magnetization comes out at 0.000 μB/f.u. The value obtained for the uncorrected formation energy is -1258 meV/atom.

```
data_Pr2SmTaN4
_chemical_formula_sum 'Pr8 Sm4 Ta4 N16'
_space_group_name_H-M_alt 'I m m a'
_space_group_IT_number 74
_space_group_name_Hall '-I 2b 2'
_cell_length_a 6.892
_cell_length_b 7.075
_cell_length_c 9.851
_cell_angle_alpha 90.00
_cell_angle_beta 90.00
_cell_angle_gamma 90.00
loop_
_atom_site_label
_atom_site_fract_x
_atom_site_fract_y
_atom_site_fract_z
Pr1 0.000 0.000 0.000
Pr2 0.250 0.250 0.250
Sm1 0.000 0.000 0.500
Ta1 0.250 0.250 0.750
N1 0.000 0.039 0.748
N2 0.245 0.250 0.529
```

***

Entry 2:
The following is a DFT calculation (GGA-PBE) of a relaxed structure of PrSmTaN3.

The crystal system is monoclinic. The density of states at the Fermi level is 3.86 states/eV per cell. The magnetization comes out at 0.405 μB/f.u. The value obtained for the uncorrected formation energy is -1035 meV/atom.

```
data_PrSmTaN3
_chemical_formula_sum 'Pr2 Sm2 Ta2 N6'
_space_group_name_H-M_alt 'P 1 21/m 1'
_space_group_IT_number 11
_cell_length_a 7.659
_cell_length_b 3.572
_cell_length_c 7.933
_cell_angle_alpha 90.00
_cell_angle_beta 94.57
_cell_angle_gamma 90.00
loop_
_space_group_symop_operation_xyz
'x,y,z'
'-x,-y,-z'
'-x,y+1/2,-z'
'x,-y+1/2,z'
loop_
_atom_site_label
_atom_site_fract_x
_atom_site_fract_y
_atom_site_fract_z
Pr1 0.162 0.250 0.156
Sm1 0.389 0.750 0.836
Ta1 0.110 0.250 0.594
N1 0.117 0.250 0.842
N2 0.169 0.750 0.489
N3 0.387 0.750 0.126
```